(1)
VASP calculation (PBE-GGA) on a relaxed PuBeRu2 crystal.

a = 3.5456 Å, b = 4.1293 Å, c = 4.1293 Å
α = 90.00°, β = 90.00°, γ = 90.00°
Closest atoms and distances in Å follow each position.
Fractional coordinates of all 4 atoms:
Be  0.5000  0.5000  0.5000  8 Ru 2.72, 4 Pu 2.92
Pu  0.5000  0.0000  0.0000  8 Ru 2.72, 4 Be 2.92
Ru  0.0000  0.0000  0.5000  4 Be 2.72, 4 Pu 2.72, 4 Ru 2.92
Ru  0.0000  0.5000  0.0000  4 Be 2.72, 4 Pu 2.72, 4 Ru 2.92

Computed properties:
SG   P4/mmm



(2)
VASP calculation (PBE-GGA) on a relaxed YbB6 crystal.

a = 4.3436 Å, b = 4.3436 Å, c = 4.3436 Å
α = 109.47°, β = 109.47°, γ = 109.47°
Closest atoms and distances in Å follow each position.
Fractional coordinates of all 7 atoms:
B  0.5000  0.2500  0.7500  4 B 1.77
B  0.2500  0.5000  0.7500  4 B 1.77
B  0.2500  0.7500  0.5000  4 B 1.77
B  0.7500  0.5000  0.2500  4 B 1.77
B  0.5000  0.7500  0.2500  4 B 1.77
B  0.7500  0.2500  0.5000  4 B 1.77
Yb  0.0000  0.0000  0.0000  24 B 2.80

Computed properties:
SG   Im-3m



In eV per atom, the final energy values for the records above are, in order, -9.2462 -5.8657.
In meV/atom, the ΔH_f (0 K) values for the records above are, in order, -94 76.